Entry 1:
Sm6Sn2Os | PBE | optimized geometry Values from VASP.

Values from the calculation:
**Size of the total moment**: 0.00 μB/cell

Structure (Quantum ESPRESSO input):
```
&SYSTEM
  ibrav = 0, nat = 9, ntyp = 3
/
ATOMIC_SPECIES
Sm 150.36 Sm.upf
Sn 118.71 Sn.upf
Os 190.23 Os.upf
CELL_PARAMETERS angstrom
-2.667 3.622 7.496
2.667 -3.622 7.496
2.667 3.622 -7.496
ATOMIC_POSITIONS angstrom
Sm 2.667 1.773 -2.244
Sm 0.000 1.627 0.000
Sm 2.667 1.773 2.244
Sm 0.000 1.849 5.252
Sm 0.000 5.618 0.000
Sm 0.000 1.849 9.740
Sn 2.667 0.000 4.910
Sn 0.000 3.622 2.586
Os 2.667 0.000 0.000
```



Entry 2:
Sm2SnOs | PBE | optimized geometry Values from VASP.

Values from the calculation:
**Size of the total moment**: 0.00 μB/cell

Structure (Quantum ESPRESSO input):
```
&SYSTEM
  ibrav = 0, nat = 4, ntyp = 3
/
ATOMIC_SPECIES
Sm 150.36 Sm.upf
Sn 118.71 Sn.upf
Os 190.23 Os.upf
CELL_PARAMETERS angstrom
3.453 0.000 0.000
0.000 3.453 0.000
0.000 0.000 8.359
ATOMIC_POSITIONS angstrom
Sm 0.000 0.000 1.724
Sm 0.000 0.000 6.635
Sn 1.726 1.726 4.180
Os 1.726 1.726 0.000
```



Entry 3:
SrSm2Os | PBE | optimized geometry Values from VASP.

Values from the calculation:
**Size of the total moment**: 0.00 μB/cell

Structure (Quantum ESPRESSO input):
```
&SYSTEM
  ibrav = 0, nat = 4, ntyp = 3
/
ATOMIC_SPECIES
Sr 87.62 Sr.upf
Sm 150.36 Sm.upf
Os 190.23 Os.upf
CELL_PARAMETERS angstrom
3.522 0.000 0.000
0.000 3.522 0.000
0.000 0.000 10.248
ATOMIC_POSITIONS angstrom
Sr 0.000 0.000 0.000
Sm 1.761 1.761 3.454
Sm 1.761 1.761 6.794
Os 0.000 0.000 5.124
```



Entry 4:
SrSm2Os | PBE | optimized geometry Values from VASP.

Values from the calculation:
**Size of the total moment**: 0.00 μB/cell

Structure (Quantum ESPRESSO input):
```
&SYSTEM
  ibrav = 0, nat = 4, ntyp = 3
/
ATOMIC_SPECIES
Sr 87.62 Sr.upf
Sm 150.36 Sm.upf
Os 190.23 Os.upf
CELL_PARAMETERS angstrom
2.047 1.182 10.949
-2.047 1.182 10.949
0.000 -2.363 10.949
ATOMIC_POSITIONS angstrom
Sr 0.000 0.000 0.000
Sm 0.000 0.000 3.982
Sm 0.000 0.000 28.864
Os 0.000 0.000 16.423
```



Entry 5:
SrSm3Os | PBE | optimized geometry Values from VASP.

Values from the calculation:
**Size of the total moment**: 0.00 μB/cell

Structure (Quantum ESPRESSO input):
```
&SYSTEM
  ibrav = 0, nat = 5, ntyp = 3
/
ATOMIC_SPECIES
Sr 87.62 Sr.upf
Sm 150.36 Sm.upf
Os 190.23 Os.upf
CELL_PARAMETERS angstrom
5.624 0.000 0.000
0.000 5.624 0.000
0.000 0.000 5.624
ATOMIC_POSITIONS angstrom
Sr 0.000 0.000 0.000
Sm 0.000 2.812 2.812
Sm 2.812 0.000 2.812
Sm 2.812 2.812 0.000
Os 2.812 2.812 2.812
```



Entry 6:
TbSm2Os | PBE | optimized geometry Values from VASP.

Values from the calculation:
**Size of the total moment**: 0.00 μB/cell

Structure (Quantum ESPRESSO input):
```
&SYSTEM
  ibrav = 0, nat = 16, ntyp = 3
/
ATOMIC_SPECIES
Tb 158.93 Tb.upf
Sm 150.36 Sm.upf
Os 190.23 Os.upf
CELL_PARAMETERS angstrom
7.446 0.000 0.000
0.000 9.346 0.000
0.000 0.000 6.434
ATOMIC_POSITIONS angstrom
Tb 0.311 2.336 0.877
Tb 3.412 7.009 4.094
Tb 4.034 2.336 2.340
Tb 7.135 7.009 5.557
Sm 1.305 0.599 4.311
Sm 1.305 4.074 4.311
Sm 2.418 5.272 1.094
Sm 2.418 8.747 1.094
Sm 5.028 0.599 5.340
Sm 5.028 4.074 5.340
Sm 6.141 5.272 2.123
Sm 6.141 8.747 2.123
Os 0.861 7.009 2.971
Os 2.862 2.336 6.188
Os 4.584 7.009 0.246
Os 6.585 2.336 3.463
```



Entry 7:
TbSm2Os | PBE | optimized geometry Values from VASP.

Values from the calculation:
**Size of the total moment**: 0.00 μB/cell

Structure (Quantum ESPRESSO input):
```
&SYSTEM
  ibrav = 0, nat = 8, ntyp = 3
/
ATOMIC_SPECIES
Tb 158.93 Tb.upf
Sm 150.36 Sm.upf
Os 190.23 Os.upf
CELL_PARAMETERS angstrom
2.026 -6.011 0.000
2.026 6.011 0.000
0.000 0.000 9.182
ATOMIC_POSITIONS angstrom
Tb 2.026 5.071 6.886
Tb 2.026 -5.071 2.295
Sm 2.026 1.721 5.208
Sm 2.026 1.721 8.565
Sm 2.026 -1.721 0.617
Sm 2.026 -1.721 3.974
Os 2.026 2.893 2.295
Os 2.026 -2.893 6.886
```



Entry 8:
TbSmOs | PBE | optimized geometry Values from VASP.

Values from the calculation:
**Size of the total moment**: 0.00 μB/cell

Structure (Quantum ESPRESSO input):
```
&SYSTEM
  ibrav = 0, nat = 3, ntyp = 3
/
ATOMIC_SPECIES
Tb 158.93 Tb.upf
Sm 150.36 Sm.upf
Os 190.23 Os.upf
CELL_PARAMETERS angstrom
0.000 3.417 3.417
3.417 0.000 3.417
3.417 3.417 0.000
ATOMIC_POSITIONS angstrom
Tb 0.000 0.000 0.000
Sm 3.417 3.417 3.417
Os 5.125 5.125 5.125
```



Entry 9:
TbSmOs | PBE | optimized geometry Values from VASP.

Values from the calculation:
**Size of the total moment**: 0.00 μB/cell

Structure (Quantum ESPRESSO input):
```
&SYSTEM
  ibrav = 0, nat = 3, ntyp = 3
/
ATOMIC_SPECIES
Tb 158.93 Tb.upf
Sm 150.36 Sm.upf
Os 190.23 Os.upf
CELL_PARAMETERS angstrom
-1.715 1.715 6.748
1.715 -1.715 6.748
1.715 1.715 -6.748
ATOMIC_POSITIONS angstrom
Tb 0.000 0.000 0.000
Sm 0.000 0.000 10.136
Os 0.000 0.000 5.105
```



Entry 10:
TbSm2Os | PBE | optimized geometry Values from VASP.

Values from the calculation:
**Size of the total moment**: 0.00 μB/cell

Structure (Quantum ESPRESSO input):
```
&SYSTEM
  ibrav = 0, nat = 4, ntyp = 3
/
ATOMIC_SPECIES
Tb 158.93 Tb.upf
Sm 150.36 Sm.upf
Os 190.23 Os.upf
CELL_PARAMETERS angstrom
1.769 1.021 10.942
-1.769 1.021 10.942
0.000 -2.042 10.942
ATOMIC_POSITIONS angstrom
Tb 0.000 0.000 0.000
Sm 0.000 0.000 3.484
Sm 0.000 0.000 29.344
Os 0.000 0.000 16.414
```



Entry 11:
TbSmOs | PBE | optimized geometry Values from VASP.

Values from the calculation:
**Size of the total moment**: 0.00 μB/cell

Structure (Quantum ESPRESSO input):
```
&SYSTEM
  ibrav = 0, nat = 12, ntyp = 3
/
ATOMIC_SPECIES
Tb 158.93 Tb.upf
Sm 150.36 Sm.upf
Os 190.23 Os.upf
CELL_PARAMETERS angstrom
7.229 0.000 0.000
0.000 5.981 0.000
-2.585 0.000 7.328
ATOMIC_POSITIONS angstrom
Tb -0.062 0.744 2.627
Tb -1.354 2.246 6.292
Tb 5.999 3.735 1.037
Tb 4.706 5.237 4.701
Sm 2.212 4.044 2.311
Sm 0.919 4.927 5.975
Sm 3.725 1.054 1.353
Sm 2.433 1.937 5.017
Os -0.216 3.644 3.663
Os -1.509 5.328 7.327
Os 6.153 0.653 0.001
Os 4.861 2.337 3.666
```



Entry 12:
Tb3SmOs | PBE | optimized geometry Values from VASP.

Values from the calculation:
**Size of the total moment**: 0.00 μB/cell

Structure (Quantum ESPRESSO input):
```
&SYSTEM
  ibrav = 0, nat = 20, ntyp = 3
/
ATOMIC_SPECIES
Tb 158.93 Tb.upf
Sm 150.36 Sm.upf
Os 190.23 Os.upf
CELL_PARAMETERS angstrom
8.577 0.000 0.000
0.000 5.115 0.000
0.000 0.000 13.197
ATOMIC_POSITIONS angstrom
Tb 0.496 1.279 2.911
Tb 0.720 3.836 7.298
Tb 1.880 1.279 10.894
Tb 2.408 3.836 4.296
Tb 3.569 1.279 0.700
Tb 3.792 3.836 9.510
Tb 4.785 1.279 3.687
Tb 5.008 3.836 12.496
Tb 6.168 1.279 8.901
Tb 6.697 3.836 2.302
Tb 7.857 1.279 5.898
Tb 8.080 3.836 10.285
Sm 1.234 3.836 0.485
Sm 3.055 1.279 7.083
Sm 5.522 3.836 6.113
Sm 7.343 1.279 12.711
Os 0.378 1.279 8.588
Os 3.911 3.836 1.990
Os 4.666 1.279 11.206
Os 8.199 3.836 4.608
```



Calculated E_tot in order - -5.6023, -6.5150, -5.5906, -5.4065, -5.4309, -6.5028, -6.4850, -7.0061, -7.0113, -5.9697, -6.9967, -6.0428 eV per atom
Calculated E_form in order - -0.319, -0.347, -0.003, 0.181, -0.017, -0.178, -0.160, -0.146, -0.152, 0.355, -0.137, -0.075 eV per atom